Ac2ZnAu (GGA-PBE, relaxed); energy relative to the elements = -377.8 meV/atom
1.0
-0.528 2.183 -3.797
-2.592 -1.663 -3.158
-7.415 4.119 0.837
Ac Zn Au
2 1 1
Direct
0.079 0.079 0.763 Ac
0.255 0.255 0.236 Ac
0.501 0.501 0.498 Zn
0.666 0.666 0.003 Au